! TmUOs4 PBE optimized geometry; values from VASP
! magnetic moment: 1.55 Bohr magnetons per cell
! SG: F-43m
! V: 17.84 A^3/atom
! E_form: -185 meV/atom
&SYSTEM
  ibrav = 0, nat = 6, ntyp = 3
/
ATOMIC_SPECIES
Os 190.23 Os.upf
Tm 168.93 Tm.upf
U 238.03 U.upf
CELL_PARAMETERS angstrom
5.3295 0.0000 0.0000
2.6648 4.6155 0.0000
2.6648 1.5385 4.3515
ATOMIC_POSITIONS crystal
Os 0.1256 0.6248 0.6248
Os 0.6248 0.1256 0.6248
Os 0.6248 0.6248 0.6248
Os 0.6248 0.6248 0.1256
Tm 0.2500 0.2500 0.2500
U 0.0000 0.0000 0.0000